Computed, not measured: Ac2Ho3Rh2 after structural relaxation at the GGA-PBE level of DFT.

Output
The formation energy from the elements comes out at -3.79 eV/f.u. The electronic total energy is -40.4 eV per cell. The density of states at the Fermi level comes out at 0.951 states/eV/atom. Its space-group type is C2/m, No. 12.

a = 3.927 Å, b = 6.581 Å, c = 8.705 Å
α = 73.10°, β = 76.96°, γ = 72.64°
Atoms (fractional coordinates):
Ho: 0.500 0.000 0.000
Ho: 0.377 0.820 0.425
Ho: 0.623 0.180 0.575
Rh: 0.168 0.910 0.754
Rh: 0.832 0.090 0.246
Ac: 0.162 0.473 0.204
Ac: 0.838 0.527 0.796

***

Computed, not measured: Ac3HoRh2 after structural relaxation at the GGA-PBE level of DFT.

Output
The formation energy from the elements comes out at -3.25 eV/f.u. The electronic total energy is -69.7 eV per cell. The density of states at the Fermi level comes out at 0.940 states/eV/atom. Its space-group type is C2/m, No. 12.

a = 4.323 Å, b = 9.156 Å, c = 11.006 Å
α = 79.54°, β = 78.67°, γ = 76.35°
Atoms (fractional coordinates):
Rh: 0.376 0.870 0.379
Rh: 0.876 0.390 0.858
Rh: 0.624 0.130 0.621
Rh: 0.124 0.610 0.142
Ac: 0.940 0.926 0.194
Ac: 0.684 0.684 0.949
Ac: 0.060 0.074 0.806
Ac: 0.316 0.316 0.051
Ac: 0.182 0.198 0.437
Ac: 0.818 0.802 0.563
Ho: 0.555 0.578 0.311
Ho: 0.445 0.422 0.689

***

Computed, not measured: AcHoRuRh after structural relaxation at the GGA-PBE level of DFT.

Output
The formation energy from the elements comes out at -1.47 eV/f.u. The electronic total energy is -26.8 eV per cell. The density of states at the Fermi level comes out at 0.634 states/eV/atom. Its space-group type is F-43m, No. 216.

a = 5.017 Å, b = 5.017 Å, c = 5.017 Å
α = 60.00°, β = 60.00°, γ = 60.00°
Atoms (fractional coordinates):
Rh: 0.000 0.000 0.000
Ru: 0.500 0.500 0.500
Ho: 0.750 0.750 0.750
Ac: 0.250 0.250 0.250

***

Computed, not measured: Ac2HoSb4Rh3 after structural relaxation at the GGA-PBE level of DFT.

Output
The calculation puts the uncorrected formation energy at -0.8639 eV per atom. The electronic total energy is -60.0 eV per cell. The density of states at the Fermi level comes out at 0.413 states/eV/atom. Its space-group type is P-4m2, No. 115.

a = 4.621 Å, b = 4.621 Å, c = 11.667 Å
α = 90.00°, β = 90.00°, γ = 90.00°
Atoms (fractional coordinates):
Rh: 0.000 0.500 0.114
Rh: 0.000 0.000 0.500
Rh: 0.500 0.000 0.886
Ho: 0.500 0.500 0.500
Sb: 0.000 0.000 0.000
Sb: 0.000 0.500 0.344
Sb: 0.500 0.000 0.656
Sb: 0.500 0.500 0.000
Ac: 0.000 0.500 0.771
Ac: 0.500 0.000 0.229

***

Computed, not measured: Ac2HoSb3Rh4 after structural relaxation at the GGA-PBE level of DFT.

Output
The calculation puts the uncorrected formation energy at -0.8919 eV per atom. The electronic total energy is -63.5 eV per cell. The density of states at the Fermi level comes out at 0.834 states/eV/atom. Its space-group type is P-4m2, No. 115.

a = 4.569 Å, b = 4.569 Å, c = 11.164 Å
α = 90.00°, β = 90.00°, γ = 90.00°
Atoms (fractional coordinates):
Rh: 0.000 0.500 0.359
Rh: 0.500 0.500 0.000
Rh: 0.500 0.000 0.641
Rh: 0.000 0.000 0.000
Ho: 0.500 0.500 0.500
Sb: 0.500 0.000 0.876
Sb: 0.000 0.500 0.124
Sb: 0.000 0.000 0.500
Ac: 0.000 0.500 0.765
Ac: 0.500 0.000 0.235

***

Computed, not measured: Ac2HoSb3Rh6 after structural relaxation at the GGA-PBE level of DFT.

Output
The calculation puts the uncorrected formation energy at -0.5224 eV per atom. The electronic total energy is -75.5 eV per cell. The density of states at the Fermi level comes out at 0.653 states/eV/atom. Its space-group type is P4/mmm, No. 123.

a = 4.190 Å, b = 4.190 Å, c = 17.020 Å
α = 90.00°, β = 90.00°, γ = 90.00°
Atoms (fractional coordinates):
Sb: 0.000 0.000 0.000
Sb: 0.000 0.000 0.301
Sb: 0.000 0.000 0.699
Ac: 0.500 0.500 0.838
Ac: 0.500 0.500 0.162
Ho: 0.500 0.500 0.500
Rh: 0.000 0.500 0.613
Rh: 0.500 0.000 0.613
Rh: 0.000 0.500 0.387
Rh: 0.000 0.000 0.851
Rh: 0.000 0.000 0.149
Rh: 0.500 0.000 0.387

***

Computed, not measured: AcHoSnRh after structural relaxation at the GGA-PBE level of DFT.

Output
The formation energy from the elements comes out at -1.95 eV/f.u. The electronic total energy is -22.0 eV per cell. The density of states at the Fermi level comes out at 0.841 states/eV/atom. Its space-group type is F-43m, No. 216.

a = 5.332 Å, b = 5.332 Å, c = 5.332 Å
α = 60.00°, β = 60.00°, γ = 60.00°
Atoms (fractional coordinates):
Sn: 0.500 0.500 0.500
Ac: 0.250 0.250 0.250
Ho: 0.750 0.750 0.750
Rh: 0.000 0.000 0.000

***

Computed, not measured: Ac2HoSn4Rh3 after structural relaxation at the GGA-PBE level of DFT.

Output
The formation energy from the elements comes out at -7.01 eV/f.u. The electronic total energy is -57.9 eV per cell. The density of states at the Fermi level comes out at 0.650 states/eV/atom. Its space-group type is P-4m2, No. 115.

a = 4.532 Å, b = 4.532 Å, c = 12.140 Å
α = 90.00°, β = 90.00°, γ = 90.00°
Atoms (fractional coordinates):
Rh: 0.000 0.000 0.500
Rh: 0.500 0.000 0.878
Rh: 0.000 0.500 0.122
Sn: 0.500 0.000 0.659
Sn: 0.500 0.500 0.000
Sn: 0.000 0.500 0.341
Sn: 0.000 0.000 0.000
Ac: 0.000 0.500 0.769
Ac: 0.500 0.000 0.231
Ho: 0.500 0.500 0.500

***

Computed, not measured: AcHoTlRh after structural relaxation at the GGA-PBE level of DFT.

Output
The formation energy from the elements comes out at -1.37 eV/f.u. The electronic total energy is -19.8 eV per cell. The density of states at the Fermi level comes out at 0.766 states/eV/atom. Its space-group type is F-43m, No. 216.

a = 5.344 Å, b = 5.344 Å, c = 5.344 Å
α = 60.00°, β = 60.00°, γ = 60.00°
Atoms (fractional coordinates):
Ho: 0.250 0.250 0.250
Ac: 0.750 0.750 0.750
Rh: 0.500 0.500 0.500
Tl: 0.000 0.000 0.000

***

Computed, not measured: AcHoZnRh after structural relaxation at the GGA-PBE level of DFT.

Output
The formation energy from the elements comes out at -1.74 eV/f.u. The electronic total energy is -19.1 eV per cell. The density of states at the Fermi level comes out at 0.555 states/eV/atom. Its space-group type is F-43m, No. 216.

a = 5.164 Å, b = 5.164 Å, c = 5.164 Å
α = 60.00°, β = 60.00°, γ = 60.00°
Atoms (fractional coordinates):
Ac: 0.250 0.250 0.250
Zn: 0.000 0.000 0.000
Rh: 0.500 0.500 0.500
Ho: 0.750 0.750 0.750

***

Computed, not measured: AcHoRu after structural relaxation at the GGA-PBE level of DFT.

Output
The formation energy from the elements comes out at -0.42 eV/f.u. The electronic total energy is -18.4 eV per cell. The density of states at the Fermi level comes out at 0.371 states/eV/atom. Its space-group type is P3m1, No. 156.

a = 6.235 Å, b = 4.197 Å, c = 4.197 Å
α = 120.00°, β = 90.00°, γ = 90.00°
Atoms (fractional coordinates):
Ru: 0.983 0.000 0.000
Ac: 0.243 0.333 0.667
Ho: 0.774 0.667 0.333

***

Computed, not measured: AcHoRu after structural relaxation at the GGA-PBE level of DFT.

Output
The formation energy from the elements comes out at -0.73 eV/f.u. The electronic total energy is -37.4 eV per cell. The density of states at the Fermi level comes out at 0.672 states/eV/atom. Its space-group type is P4/nmm, No. 129.

a = 4.772 Å, b = 4.772 Å, c = 7.231 Å
α = 90.01°, β = 90.00°, γ = 90.00°
Atoms (fractional coordinates):
Ac: 0.314 0.366 0.295
Ac: 0.814 0.867 0.545
Ru: 0.313 0.366 0.689
Ru: 0.814 0.867 0.150
Ho: 0.314 0.866 0.920
Ho: 0.814 0.366 0.920

***

Number 1: calculated density 9.44 g cm⁻³, V 29.01 Å³ per atom. Number 2: calculated density 8.50 g cm⁻³, V 34.24 Å³ per atom. Number 3: calculated density 11.08 g cm⁻³, V 22.32 Å³ per atom. Number 4: calculated density 9.43 g cm⁻³, V 24.91 Å³ per atom. Number 5: calculated density 9.95 g cm⁻³, V 23.30 Å³ per atom. Number 6: calculated density 8.90 g cm⁻³, V 24.90 Å³ per atom. Number 7: calculated density 9.51 g cm⁻³, V 26.80 Å³ per atom. Number 8: calculated density 9.34 g cm⁻³, V 24.93 Å³ per atom. Number 9: calculated density 10.76 g cm⁻³, V 26.99 Å³ per atom. Number 10: calculated density 9.56 g cm⁻³, V 24.34 Å³ per atom. Number 11: calculated density 8.61 g cm⁻³, V 31.70 Å³ per atom. Number 12: calculated density 9.94 g cm⁻³, V 27.44 Å³ per atom.